DyY2Sc: optimized geometry, PBE. Values from VASP.

Output
DOS at the Fermi energy = 6.38 states/eV/f.u.
crystal system = trigonal
space-group type = R3m (160)
total magnetic moment = 0.00 μB per atom
energy above the most stable polymorph in this dataset = 16 meV/atom

Cell and atoms, written as Quantum ESPRESSO input:
```
&SYSTEM
  ibrav = 0, nat = 4, ntyp = 3
/
ATOMIC_SPECIES
Dy 162.50 Dy.upf
Y 88.91 Y.upf
Sc 44.96 Sc.upf
ATOMIC_POSITIONS crystal
Dy 0.000 0.000 0.000
Y 0.248 0.248 0.248
Y 0.420 0.420 0.420
Sc 0.834 0.834 0.834
CELL_PARAMETERS angstrom
1.765 1.019 11.174
-1.765 1.019 11.174
0.000 -2.038 11.174
```

---

Dy3Y4Sc2: optimized geometry, PBE. Values from VASP.

Output
DOS at the Fermi energy = 16.01 states/eV/f.u.
crystal system = orthorhombic
space-group type = Cccm (66)
total magnetic moment = 0.00 μB per atom
energy above the most stable polymorph in this dataset = 0 meV/atom

Cell and atoms, written as Quantum ESPRESSO input:
```
&SYSTEM
  ibrav = 0, nat = 18, ntyp = 3
/
ATOMIC_SPECIES
Dy 162.50 Dy.upf
Y 88.91 Y.upf
Sc 44.96 Sc.upf
ATOMIC_POSITIONS crystal
Dy 0.000 0.000 0.250
Dy 0.000 0.000 0.750
Dy 0.326 0.674 0.250
Dy 0.326 0.674 0.750
Dy 0.674 0.326 0.250
Dy 0.674 0.326 0.750
Y 0.015 0.334 0.500
Y 0.316 0.349 0.000
Y 0.334 0.015 0.000
Y 0.349 0.316 0.500
Y 0.651 0.684 0.500
Y 0.666 0.985 0.000
Y 0.684 0.651 0.000
Y 0.985 0.666 0.500
Sc 0.016 0.667 0.000
Sc 0.333 0.984 0.500
Sc 0.667 0.016 0.500
Sc 0.984 0.333 0.000
CELL_PARAMETERS angstrom
4.747 -8.364 0.000
4.747 8.364 0.000
0.000 0.000 6.857
```

---

DyY2Sc: optimized geometry, PBE. Values from VASP.

Output
DOS at the Fermi energy = 7.65 states/eV/f.u.
crystal system = orthorhombic
space-group type = Imm2 (44)
total magnetic moment = 0.00 μB per atom
energy above the most stable polymorph in this dataset = 0 meV/atom

Cell and atoms, written as Quantum ESPRESSO input:
```
&SYSTEM
  ibrav = 0, nat = 4, ntyp = 3
/
ATOMIC_SPECIES
Dy 162.50 Dy.upf
Y 88.91 Y.upf
Sc 44.96 Sc.upf
ATOMIC_POSITIONS crystal
Dy 0.000 0.000 0.000
Y 0.097 0.342 0.756
Y 0.586 0.342 0.244
Sc 0.507 0.007 0.500
CELL_PARAMETERS angstrom
-1.784 5.537 3.076
1.784 -5.537 3.076
1.784 5.537 -3.076
```

---

DyYSc2: optimized geometry, PBE. Values from VASP.

Output
DOS at the Fermi energy = 7.10 states/eV/f.u.
crystal system = orthorhombic
space-group type = Cmmm (65)
total magnetic moment = 0.00 μB per atom
energy above the most stable polymorph in this dataset = 24 meV/atom

Cell and atoms, written as Quantum ESPRESSO input:
```
&SYSTEM
  ibrav = 0, nat = 4, ntyp = 3
/
ATOMIC_SPECIES
Dy 162.50 Dy.upf
Y 88.91 Y.upf
Sc 44.96 Sc.upf
ATOMIC_POSITIONS crystal
Dy 0.000 0.000 0.000
Y 0.500 0.500 0.000
Sc 0.000 0.500 0.500
Sc 0.500 0.000 0.500
CELL_PARAMETERS angstrom
3.457 -4.679 0.000
3.457 4.679 0.000
0.000 0.000 3.458
```

---

Dy5YSc4: optimized geometry, PBE. Values from VASP.

Output
DOS at the Fermi energy = 11.91 states/eV/f.u.
crystal system = orthorhombic
space-group type = Pmmn (59)
total magnetic moment = 0.00 μB per atom
energy above the most stable polymorph in this dataset = 111 meV/atom

Cell and atoms, written as Quantum ESPRESSO input:
```
&SYSTEM
  ibrav = 0, nat = 20, ntyp = 3
/
ATOMIC_SPECIES
Dy 162.50 Dy.upf
Y 88.91 Y.upf
Sc 44.96 Sc.upf
ATOMIC_POSITIONS crystal
Dy 0.057 0.057 0.201
Dy 0.057 0.443 0.201
Dy 0.250 0.750 0.000
Dy 0.443 0.057 0.201
Dy 0.443 0.443 0.201
Dy 0.557 0.557 0.799
Dy 0.557 0.943 0.799
Dy 0.750 0.250 0.000
Dy 0.943 0.557 0.799
Dy 0.943 0.943 0.799
Y 0.250 0.250 0.878
Y 0.750 0.750 0.122
Sc 0.020 0.750 0.414
Sc 0.250 0.519 0.586
Sc 0.250 0.981 0.586
Sc 0.480 0.750 0.414
Sc 0.520 0.250 0.586
Sc 0.750 0.019 0.414
Sc 0.750 0.481 0.414
Sc 0.980 0.250 0.586
CELL_PARAMETERS angstrom
8.722 0.000 0.000
0.000 8.727 0.000
0.000 0.000 7.739
```

---

Dy8YSc6: optimized geometry, PBE. Values from VASP.

Output
DOS at the Fermi energy = 23.69 states/eV/f.u.
crystal system = trigonal
E_tot = -0.1922 hartree per atom
space-group type = R-3 (148)
total magnetic moment = 0.00 μB per atom

Cell and atoms, written as Quantum ESPRESSO input:
```
&SYSTEM
  ibrav = 0, nat = 15, ntyp = 3
/
ATOMIC_SPECIES
Dy 162.50 Dy.upf
Y 88.91 Y.upf
Sc 44.96 Sc.upf
ATOMIC_POSITIONS crystal
Dy 0.091 0.091 0.091
Dy 0.135 0.273 0.566
Dy 0.273 0.566 0.135
Dy 0.434 0.865 0.727
Dy 0.566 0.135 0.273
Dy 0.727 0.434 0.865
Dy 0.865 0.727 0.434
Dy 0.909 0.909 0.909
Y 0.500 0.500 0.500
Sc 0.112 0.557 0.790
Sc 0.210 0.888 0.443
Sc 0.443 0.210 0.888
Sc 0.557 0.790 0.112
Sc 0.790 0.112 0.557
Sc 0.888 0.443 0.210
CELL_PARAMETERS angstrom
4.680 2.702 5.758
-4.680 2.702 5.758
0.000 -5.405 5.758
```